The following is a PBE calculation of a geometry-optimized Ba2CeTl3S6 structure, from the Alexandria database.

The structure belongs to space group C2/m (No. 12); the cell edges are 7.7232, 13.4431 and 7.5428 Å and the angles 90.00°, 110.26° and 90.00°. The asymmetric unit holds Ba at (0.0000, 0.1672, 0.0000), Ce at (0.0000, 0.5000, 0.0000), Tl at (0.0000, 0.0000, 0.5000), Tl at (0.0000, 0.3424, 0.5000), S at (0.2203, 0.5000, 0.7743) and S at (0.2210, 0.3548, 0.2196).

The crystal system is monoclinic. As for the calculated total energy: -4.707 eV/atom.

=====

The following is a PBE calculation of a geometry-optimized NdCu2Au4 structure, from the Alexandria database.

The structure belongs to space group C2/m (No. 12); the cell edges are 8.7620, 7.0731 and 5.2457 Å and the angles 90.00°, 126.31° and 90.00°. The asymmetric unit holds Nd at (0.0000, 0.0000, 0.0000), Cu at (0.9997, 0.5000, 0.2495) and Au at (0.1988, 0.1987, 0.6991).

The crystal system is monoclinic. As for the calculated total energy: -4.087 eV/atom. The calculation puts the formation energy at -35.01 kJ per mole of atoms.

=====

The following is a PBE calculation of a geometry-optimized Ho2ErRh2 structure, from the Alexandria database.

The structure belongs to space group Cmc2_1 (No. 36); the cell edges are 3.9330, 16.8277 and 7.1833 Å and the angles 90.00°, 90.00° and 90.00°. The asymmetric unit holds Ho at (0.0000, 0.0309, 0.0000), Ho at (0.0000, 0.1896, 0.7170), Er at (0.0000, 0.3793, 0.8333), Rh at (0.0000, 0.1936, 0.1242) and Rh at (0.0000, 0.4457, 0.1998).

The crystal system is orthorhombic. As for the calculated total energy: -6.341 eV/atom. The calculation puts the formation energy at -63.40 kJ per mole of atoms.

=====

The following is a PBE calculation of a geometry-optimized KRu2Pt structure, from the Alexandria database.

The structure belongs to space group P4/mmm (No. 123); the cell edges are 3.9743, 3.9743 and 4.4429 Å and the angles 90.00°, 90.00° and 90.00°. The asymmetric unit holds K at (0.0000, 0.0000, 0.0000), Ru at (0.0000, 0.5000, 0.5000) and Pt at (0.5000, 0.5000, 0.0000).

The crystal system is tetragonal. As for the calculated total energy: -5.209 eV/atom. For the relative energy among the computed polymorphs, the calculation gives 0.777 eV/atom. The calculation puts the formation energy at 117.08 kJ per mole of atoms.